A relaxed Sc2TaCd crystal. Source: Alexandria, functional PBE-GGA.

Values from the calculation:
total magnetic moment	0.187	μB/atom
DOS(E_F)	1.11	states/eV/atom
formation enthalpy at 0 K	0.1444	eV/atom

Geometry as CIF:
```
data_Sc2TaCd
_chemical_formula_sum 'Sc6 Ta3 Cd3'
_space_group_name_H-M_alt 'R 3 m'
_space_group_IT_number 160
_space_group_name_Hall 'R 3 -2"'
_cell_length_a 3.1266
_cell_length_b 3.1266
_cell_length_c 30.7786
_cell_angle_alpha 90.00
_cell_angle_beta 90.00
_cell_angle_gamma 120.00
loop_
_atom_site_label
_atom_site_type_symbol
_atom_site_fract_x
_atom_site_fract_y
_atom_site_fract_z
_atom_site_occupancy
Sc1 Sc 0.0000 0.0000 0.0000 1
Sc2 Sc 0.0000 0.0000 0.2426 1
Ta1 Ta 0.0000 0.0000 0.7437 1
Cd1 Cd 0.0000 0.0000 0.4921 1
```